Here is an optimized crystal structure of RhSeOF2 from Alexandria via LeMat-Bulk. Energies are from PBE.

Properties
- Space group: P4/mmm, No. 123
- Energy above the most stable polymorph in this dataset: 0 kJ/mol of formula units
- Electronic total energy: -21.3 eV for the cell shown
- Raw formation energy: -0.3613 eV per atom
- Calculated volume: 73.5 Å³/f.u.

The structure in POSCAR format:
```
RhSeOF2
1.0
4.4274 0.0000 0.0000
0.0000 4.4274 0.0000
0.0000 0.0000 3.7473
F Rh O Se
2 1 1 1
Direct
0.0000 0.5000 0.0000 F
0.5000 0.0000 0.0000 F
0.0000 0.0000 0.0000 Rh
0.0000 0.0000 0.5000 O
0.5000 0.5000 0.5000 Se
```